Computed, not measured: a relaxed structure of ScIrPt at the PBE level of DFT.

Computed properties:
As for the relative energy among the computed polymorphs: 80 meV per atom. The density is 14.5 Mg/m³. The magnetization comes out at 0.00 μB per formula unit. As for the formation enthalpy at 0 K: -533 meV/atom.

Cell lengths 4.5045, 4.5045, 2.8105 Å; angles 90.00, 90.00, 120.00 degrees
Space group P3m1 (No. 156)
One atom of each set of equivalent atoms:
Sc 0.0000 0.0000 0.0000 [1 per cell]
Ir 0.6667 0.3333 0.3143 [1 per cell]
Pt 0.3333 0.6667 0.7797 [1 per cell]